No. 1
A plane-wave DFT calculation with PBE was carried out for a geometry-optimized SrSc7 structure.

Values from the calculation:
energy of formation from the pure elements: 224 meV/atom
size of the total moment: 0.6 μB per formula unit
symmetry: Fm-3m (225)

POSCAR file:
```
SrSc7
1.0
6.451 -1.694 0.587
1.737 -6.447 0.501
3.143 -3.026 -5.080
Sr Sc
1 7
Direct
0.000 0.000 0.000 Sr
0.500 0.500 0.000 Sc
0.500 0.000 0.500 Sc
0.500 0.000 0.000 Sc
0.000 0.000 0.500 Sc
0.000 0.500 0.000 Sc
0.000 0.500 0.500 Sc
0.500 0.500 0.500 Sc
```

***

No. 2
A plane-wave DFT calculation with PBE was carried out for a geometry-optimized ErNi22B6 structure.

Values from the calculation:
energy of formation from the pure elements: -210 meV/atom
size of the total moment: 0.9 μB per formula unit
symmetry: Fm-3m (225)

POSCAR file:
```
ErNi22B6
1.0
6.472 0.000 3.736
2.157 6.101 3.736
0.000 0.000 7.473
Er Ni B
1 22 6
Direct
0.000 0.000 0.000 Er
0.750 0.750 0.750 Ni
0.250 0.250 0.250 Ni
0.617 0.617 0.148 Ni
0.617 0.617 0.617 Ni
0.617 0.148 0.617 Ni
0.148 0.617 0.617 Ni
0.383 0.383 0.852 Ni
0.383 0.383 0.383 Ni
0.383 0.852 0.383 Ni
0.852 0.383 0.383 Ni
0.655 0.000 0.345 Ni
0.000 0.655 0.345 Ni
0.000 0.000 0.345 Ni
0.000 0.655 0.000 Ni
0.655 0.000 0.000 Ni
0.000 0.000 0.655 Ni
0.000 0.345 0.000 Ni
0.000 0.345 0.655 Ni
0.655 0.345 0.000 Ni
0.345 0.000 0.655 Ni
0.345 0.000 0.000 Ni
0.345 0.655 0.000 Ni
0.271 0.729 0.271 B
0.729 0.271 0.271 B
0.729 0.729 0.271 B
0.729 0.271 0.729 B
0.271 0.729 0.729 B
0.271 0.271 0.729 B
```

***

No. 3
A plane-wave DFT calculation with PBE was carried out for a geometry-optimized ZnGa2Hg structure.

Values from the calculation:
energy of formation from the pure elements: 69 meV/atom
size of the total moment: 0.0 μB per formula unit
polymorph energy (0 for the lowest one): 0.0000 eV/atom
symmetry: C2/m (12)

POSCAR file:
```
ZnGa2Hg
1.0
-2.613 1.665 -0.209
-0.030 -2.760 1.448
0.117 1.500 10.494
Zn Ga Hg
1 2 1
Direct
0.000 0.000 0.500 Zn
0.817 0.634 0.285 Ga
0.183 0.366 0.715 Ga
0.000 0.000 0.000 Hg
```

***

No. 4
A plane-wave DFT calculation with PBE was carried out for a geometry-optimized HoLuThTi structure.

Values from the calculation:
energy of formation from the pure elements: 212 meV/atom
size of the total moment: 1.7 μB per formula unit
symmetry: F-43m (216)

POSCAR file:
```
HoLuThTi
1.0
5.368 0.000 0.000
2.684 4.649 0.000
2.684 1.550 4.383
Lu Ho Th Ti
1 1 1 1
Direct
0.250 0.250 0.250 Lu
0.000 0.000 0.000 Ho
0.500 0.500 0.500 Th
0.750 0.750 0.750 Ti
```

***

No. 5
A plane-wave DFT calculation with PBE was carried out for a geometry-optimized ZrNi2Te structure.

Values from the calculation:
size of the total moment: 0.0 μB per formula unit
energy relative to the elements, uncorrected: -0.26 eV/atom
symmetry: Cm (8)

POSCAR file:
```
ZrNi2Te
1.0
-2.288 -2.110 -2.586
-2.082 -3.205 1.329
-5.303 1.107 0.589
Ni Te Zr
2 1 1
Direct
0.980 0.980 0.059 Ni
0.258 0.258 0.226 Ni
0.530 0.530 0.411 Te
0.732 0.732 0.804 Zr
```

***

No. 6
A plane-wave DFT calculation with PBE was carried out for a geometry-optimized BaLiTi2Si structure.

Values from the calculation:
size of the total moment: 0.0 μB per formula unit
energy relative to the elements, uncorrected: 1.79 eV/atom
symmetry: P4/mmm (123)

POSCAR file:
```
BaLiTi2Si
1.0
5.086 0.000 0.000
0.000 5.611 0.000
0.000 0.000 5.086
Si Li Ba Ti
1 1 1 2
Direct
0.000 0.500 0.000 Si
0.500 0.500 0.500 Li
0.000 0.000 0.000 Ba
0.000 0.000 0.500 Ti
0.500 0.000 0.000 Ti
```

***

No. 7
A plane-wave DFT calculation with PBE was carried out for a geometry-optimized PmZn2Ge structure.

Values from the calculation:
energy of formation from the pure elements: -282 meV/atom
size of the total moment: 0.0 μB per formula unit
polymorph energy (0 for the lowest one): 0.1871 eV/atom
symmetry: C2/m (12)

POSCAR file:
```
PmZn2Ge
1.0
-0.041 2.874 2.910
2.841 -2.780 2.786
2.589 1.130 -3.955
Pm Zn Ge
1 2 1
Direct
0.500 0.000 0.000 Pm
0.264 0.325 0.529 Zn
0.736 0.675 0.471 Zn
0.000 0.500 0.000 Ge
```

***

No. 8
A plane-wave DFT calculation with PBE was carried out for a geometry-optimized KIr3 structure.

Values from the calculation:
energy of formation from the pure elements: 569 meV/atom
size of the total moment: 0.0 μB per formula unit
polymorph energy (0 for the lowest one): 0.0760 eV/atom
symmetry: C2/m (12)

POSCAR file:
```
KIr3
1.0
-2.644 0.059 5.516
-0.148 -0.779 6.065
1.045 5.203 3.182
Ir K
3 1
Direct
0.500 0.500 0.500 Ir
0.801 0.801 0.608 Ir
0.199 0.199 0.392 Ir
0.000 0.000 0.000 K
```

***

No. 9
A plane-wave DFT calculation with PBE was carried out for a geometry-optimized LiUInIr structure.

Values from the calculation:
energy of formation from the pure elements: -167 meV/atom
size of the total moment: 1.9 μB per formula unit
symmetry: F-43m (216)

POSCAR file:
```
LiUInIr
1.0
-2.822 3.302 1.916
-4.230 0.927 -1.946
-3.979 -1.290 2.244
Ir U Li In
1 1 1 1
Direct
0.500 0.500 0.500 Ir
0.750 0.750 0.750 U
0.000 0.000 0.000 Li
0.250 0.250 0.250 In
```

***

No. 10
A plane-wave DFT calculation with PBE was carried out for a geometry-optimized Co2SbSe2 structure.

Values from the calculation:
size of the total moment: 0.0 μB per formula unit
energy relative to the elements, uncorrected: 0.26 eV/atom
symmetry: I4/mmm (139)

POSCAR file:
```
Co2SbSe2
1.0
4.020 0.000 0.000
0.000 4.020 0.000
2.010 2.010 5.290
Sb Co Se
1 2 2
Direct
0.000 0.000 0.000 Sb
0.382 0.382 0.236 Co
0.618 0.618 0.764 Co
0.750 0.250 0.500 Se
0.250 0.750 0.500 Se
```

***

No. 11
A plane-wave DFT calculation with PBE was carried out for a geometry-optimized K2PrCuF6 structure.

Values from the calculation:
size of the total moment: 0.1 μB per formula unit
energy relative to the elements, uncorrected: -2.80 eV/atom
symmetry: Fm-3m (225)

POSCAR file:
```
K2PrCuF6
1.0
5.502 -2.400 2.231
0.334 -2.191 6.008
0.542 -6.287 1.090
K Pr Cu F
2 1 1 6
Direct
0.250 0.250 0.250 K
0.750 0.750 0.750 K
0.500 0.500 0.500 Pr
0.000 0.000 0.000 Cu
0.248 0.248 0.752 F
0.248 0.752 0.752 F
0.752 0.752 0.248 F
0.248 0.752 0.248 F
0.752 0.248 0.752 F
0.752 0.248 0.248 F
```

***

No. 12
A plane-wave DFT calculation with PBE was carried out for a geometry-optimized CaCeTm2 structure.

Values from the calculation:
energy of formation from the pure elements: 194 meV/atom
size of the total moment: 0.3 μB per formula unit
polymorph energy (0 for the lowest one): 0.0997 eV/atom
symmetry: R-3m (166)

POSCAR file:
```
CaCeTm2
1.0
3.482 0.000 0.000
1.741 3.015 0.000
1.741 1.005 12.236
Ca Tm Ce
1 2 1
Direct
0.000 0.000 0.000 Ca
0.092 0.092 0.725 Tm
0.908 0.908 0.275 Tm
0.500 0.500 0.500 Ce
```

***

No. 13
A plane-wave DFT calculation with PBE was carried out for a geometry-optimized Pm6Pr12Nd structure.

Values from the calculation:
energy of formation from the pure elements: 387 meV/atom
size of the total moment: 0.0 μB per formula unit
polymorph energy (0 for the lowest one): 0.2649 eV/atom
symmetry: R-3m (166)

POSCAR file:
```
Pm6Pr12Nd
1.0
-3.345 -3.563 -8.399
9.715 0.015 -0.183
-3.046 -5.643 7.300
Pm Pr Nd
6 12 1
Direct
0.671 0.222 0.671 Pm
0.671 0.671 0.222 Pm
0.222 0.671 0.671 Pm
0.329 0.329 0.778 Pm
0.329 0.778 0.329 Pm
0.778 0.329 0.329 Pm
0.893 0.107 0.500 Pr
0.383 0.177 0.383 Pr
0.383 0.383 0.177 Pr
0.823 0.617 0.617 Pr
0.617 0.617 0.823 Pr
0.617 0.823 0.617 Pr
0.500 0.893 0.107 Pr
0.107 0.500 0.893 Pr
0.107 0.893 0.500 Pr
0.500 0.107 0.893 Pr
0.893 0.500 0.107 Pr
0.177 0.383 0.383 Pr
0.000 0.000 0.000 Nd
```

***

No. 14
A plane-wave DFT calculation with PBE was carried out for a geometry-optimized Li4CdPd6 structure.

Values from the calculation:
energy of formation from the pure elements: -94 meV/atom
size of the total moment: 0.0 μB per formula unit
symmetry: I-42m (121)

POSCAR file:
```
Li4CdPd6
1.0
6.156 -0.205 -0.301
-3.028 5.363 0.301
-3.028 -1.692 5.099
Li Cd Pd
4 1 6
Direct
0.000 0.260 0.593 Li
0.667 0.407 0.407 Li
0.000 0.593 0.260 Li
0.333 0.740 0.740 Li
0.000 0.000 0.000 Cd
0.000 0.902 0.525 Pd
0.000 0.525 0.902 Pd
0.623 0.098 0.098 Pd
0.500 0.000 0.500 Pd
0.377 0.475 0.475 Pd
0.500 0.500 0.000 Pd
```

***

No. 15
A plane-wave DFT calculation with PBE was carried out for a geometry-optimized LiEuHgAu structure.

Values from the calculation:
energy of formation from the pure elements: -499 meV/atom
size of the total moment: 7.3 μB per formula unit
symmetry: F-43m (216)

POSCAR file:
```
LiEuHgAu
1.0
5.130 0.000 0.000
2.565 4.443 0.000
2.565 1.481 4.189
Eu Au Hg Li
1 1 1 1
Direct
0.750 0.750 0.750 Eu
0.000 0.000 0.000 Au
0.500 0.500 0.500 Hg
0.250 0.250 0.250 Li
```

***

No. 16
A plane-wave DFT calculation with PBE was carried out for a geometry-optimized Pm8Te4As3Pd structure.

Values from the calculation:
size of the total moment: 0.0 μB per formula unit
energy relative to the elements, uncorrected: -1.40 eV/atom
symmetry: R-3m (166)

POSCAR file:
```
Pm8Te4As3Pd
1.0
8.651 0.000 0.000
0.000 8.776 0.082
-4.326 -4.321 6.121
Pm Te As Pd
8 4 3 1
Direct
0.241 0.723 0.982 Pm
0.241 0.723 0.483 Pm
0.260 0.280 0.520 Pm
0.741 0.723 0.982 Pm
0.259 0.277 0.018 Pm
0.740 0.720 0.480 Pm
0.759 0.277 0.517 Pm
0.759 0.277 0.018 Pm
0.500 0.000 0.000 Te
0.500 0.000 0.500 Te
0.000 0.000 0.000 Te
0.000 0.000 0.500 Te
0.500 0.500 0.000 As
0.500 0.500 0.500 As
0.000 0.500 0.500 As
0.000 0.500 0.000 Pd
```

***

No. 17
A plane-wave DFT calculation with PBE was carried out for a geometry-optimized TiCu2Hg2 structure.

Values from the calculation:
energy of formation from the pure elements: 194 meV/atom
size of the total moment: 1.8 μB per formula unit
symmetry: P4/mbm (127)

POSCAR file:
```
TiCu2Hg2
1.0
7.314 0.000 0.000
0.000 7.314 0.000
0.000 0.000 3.223
Hg Cu Ti
4 4 2
Direct
0.178 0.678 0.500 Hg
0.678 0.822 0.500 Hg
0.822 0.322 0.500 Hg
0.322 0.178 0.500 Hg
0.378 0.878 0.000 Cu
0.878 0.622 0.000 Cu
0.622 0.122 0.000 Cu
0.122 0.378 0.000 Cu
0.000 0.000 0.000 Ti
0.500 0.500 0.000 Ti
```

***

No. 18
A plane-wave DFT calculation with PBE was carried out for a geometry-optimized CaMgHg structure.

Values from the calculation:
energy of formation from the pure elements: -340 meV/atom
size of the total moment: 0.0 μB per formula unit
symmetry: P-6m2 (187)

POSCAR file:
```
CaMgHg
1.0
-0.143 3.784 -3.208
-2.393 -4.223 -1.035
-3.072 1.325 1.700
Mg Ca Hg
1 1 1
Direct
0.333 0.667 0.500 Mg
0.000 0.000 0.000 Ca
0.667 0.333 0.500 Hg
```

***

No. 19
A plane-wave DFT calculation with PBE was carried out for a geometry-optimized La2AlW structure.

Values from the calculation:
energy of formation from the pure elements: 234 meV/atom
size of the total moment: 0.0 μB per formula unit
symmetry: Amm2 (38)

POSCAR file:
```
La2AlW
1.0
4.502 0.000 0.000
0.000 4.133 0.041
0.000 2.005 5.879
Al W La
1 1 2
Direct
0.500 0.566 0.743 Al
0.000 0.683 0.508 W
0.000 0.981 0.913 La
0.500 0.270 0.335 La
```

***

No. 20
A plane-wave DFT calculation with PBE was carried out for a geometry-optimized RbZnTc2Cl structure.

Values from the calculation:
size of the total moment: 3.2 μB per formula unit
energy relative to the elements, uncorrected: 1.20 eV/atom
symmetry: P4/mmm (123)

POSCAR file:
```
RbZnTc2Cl
1.0
4.512 0.000 0.000
0.000 5.899 0.000
0.000 0.000 4.512
Zn Tc Rb Cl
1 2 1 1
Direct
0.500 0.500 0.500 Zn
0.000 0.000 0.500 Tc
0.500 0.000 0.000 Tc
0.000 0.500 0.000 Rb
0.000 0.000 0.000 Cl
```

***

No. 21
A plane-wave DFT calculation with PBE was carried out for a geometry-optimized Cr2Ni5Rh structure.

Values from the calculation:
energy of formation from the pure elements: 19 meV/atom
size of the total moment: 0.1 μB per formula unit
polymorph energy (0 for the lowest one): 0.0000 eV/atom
symmetry: Immm (71)

POSCAR file:
```
Cr2Ni5Rh
1.0
5.072 0.000 0.000
-2.536 2.542 3.649
0.000 0.000 7.297
Cr Ni Rh
2 5 1
Direct
0.278 0.555 0.222 Cr
0.778 0.555 0.722 Cr
0.278 0.056 0.222 Ni
0.278 0.056 0.722 Ni
0.778 0.056 0.222 Ni
0.778 0.056 0.722 Ni
0.278 0.556 0.722 Ni
0.778 0.556 0.222 Rh
```

***

No. 22
A plane-wave DFT calculation with PBE was carried out for a geometry-optimized Sr2SbOs structure.

Values from the calculation:
size of the total moment: 0.8 μB per formula unit
energy relative to the elements, uncorrected: 0.28 eV/atom
symmetry: Cmmm (65)

POSCAR file:
```
Sr2SbOs
1.0
-6.433 -1.113 4.087
1.588 -3.424 -4.250
-0.003 -2.670 2.153
Os Sb Sr
1 1 2
Direct
0.000 0.500 0.500 Os
0.500 0.500 0.000 Sb
0.000 0.000 0.000 Sr
0.500 0.000 0.500 Sr
```

***

No. 23
A plane-wave DFT calculation with PBE was carried out for a geometry-optimized LaPO2F structure.

Values from the calculation:
size of the total moment: 2.9 μB per formula unit
energy relative to the elements, uncorrected: -0.74 eV/atom
symmetry: P4/mmm (123)

POSCAR file:
```
LaPO2F
1.0
4.239 0.000 0.000
0.000 4.239 0.000
0.000 0.000 7.588
P F O La
1 1 2 1
Direct
0.000 0.000 0.500 P
0.500 0.500 0.500 F
0.000 0.500 0.000 O
0.500 0.000 0.000 O
0.000 0.000 0.000 La
```

***

No. 24
A plane-wave DFT calculation with PBE was carried out for a geometry-optimized Sr2BeRe structure.

Values from the calculation:
energy of formation from the pure elements: 1166 meV/atom
size of the total moment: 0.7 μB per formula unit
symmetry: I-4m2 (119)

POSCAR file:
```
Sr2BeRe
1.0
-2.663 -4.120 2.303
-2.172 -2.816 -4.089
5.117 1.629 0.725
Re Be Sr
1 1 2
Direct
0.750 0.250 0.500 Re
0.500 0.500 0.000 Be
0.000 0.000 0.000 Sr
0.250 0.750 0.500 Sr
```

***

No. 25
A plane-wave DFT calculation with PBE was carried out for a geometry-optimized Ho12Er6Sc structure.

Values from the calculation:
energy of formation from the pure elements: 160 meV/atom
size of the total moment: 0.0 μB per formula unit
polymorph energy (0 for the lowest one): 0.0000 eV/atom
symmetry: R-3 (148)

POSCAR file:
```
Ho12Er6Sc
1.0
8.341 0.715 0.856
-0.558 8.353 0.856
-0.558 -0.650 8.372
Ho Er Sc
12 6 1
Direct
0.777 0.541 0.436 Ho
0.436 0.777 0.541 Ho
0.541 0.436 0.777 Ho
0.223 0.459 0.564 Ho
0.564 0.223 0.459 Ho
0.459 0.564 0.223 Ho
0.012 0.199 0.357 Ho
0.801 0.643 0.988 Ho
0.643 0.988 0.801 Ho
0.988 0.801 0.643 Ho
0.199 0.357 0.012 Ho
0.357 0.012 0.199 Ho
0.743 0.907 0.303 Er
0.697 0.257 0.093 Er
0.093 0.697 0.257 Er
0.257 0.093 0.697 Er
0.303 0.743 0.907 Er
0.907 0.303 0.743 Er
0.000 0.000 0.000 Sc
```